Record 1
Material: Pu4Al16Fe3
Method: DFT, GGA-PBE
State: optimized geometry

```
Pu4Al16Fe3
1.0
6.0534 0.0000 0.0000
0.0000 6.0534 0.0000
0.0000 0.0000 11.1046
Pu Al Fe
4 16 3
direct
0.5000 0.0000 0.8085 Pu
0.0000 0.5000 0.1915 Pu
0.0000 0.5000 0.8085 Pu
0.5000 0.0000 0.1915 Pu
0.0000 0.0000 0.7866 Al
0.2742 0.2742 0.0000 Al
0.5000 0.5000 0.7997 Al
0.7258 0.2742 0.0000 Al
0.5000 0.5000 0.2003 Al
0.7258 0.7258 0.0000 Al
0.0000 0.0000 0.2134 Al
0.7495 0.7495 0.6171 Al
0.7495 0.2505 0.3829 Al
0.2505 0.2505 0.6171 Al
0.2505 0.7495 0.3829 Al
0.2742 0.7258 0.0000 Al
0.7495 0.7495 0.3829 Al
0.7495 0.2505 0.6171 Al
0.2505 0.2505 0.3829 Al
0.2505 0.7495 0.6171 Al
0.0000 0.5000 0.5000 Fe
0.0000 0.0000 0.0000 Fe
0.5000 0.0000 0.5000 Fe
```

## Properties
- raw total energy (eV per atom) = -6.510
- ΔH_f (0 K) (eV/atom) = -0.31
- spin magnetization (μB per atom) = 0.83

***

Record 2
Material: Ba2Re
Method: DFT, GGA-PBE
State: optimized geometry

```
Ba2Re
1.0
-1.2153 -5.4553 -6.0571
2.4133 -7.3707 -2.7882
-2.4827 5.2607 5.8384
Re Ba
1 2
direct
0.0000 0.0000 0.0000 Re
0.3750 0.3750 0.0000 Ba
0.6250 0.6250 0.0000 Ba
```

## Properties
- raw total energy (eV per atom) = -4.351
- ΔH_f (0 K) (eV/atom) = 1.08
- spin magnetization (μB per atom) = 0.25
- offset from the most stable computed form (eV per atom) = 0.6389

***

Record 3
Material: KSr2Pb2
Method: DFT, GGA-PBE
State: optimized geometry

```
KSr2Pb2
1.0
10.2043 0.0000 0.0000
0.0000 10.2043 0.0000
0.0000 0.0000 3.6888
Pb Sr K
4 4 2
direct
0.1726 0.6726 0.5000 Pb
0.6726 0.8274 0.5000 Pb
0.8274 0.3274 0.5000 Pb
0.3274 0.1726 0.5000 Pb
0.3734 0.8734 0.0000 Sr
0.8734 0.6266 0.0000 Sr
0.6266 0.1266 0.0000 Sr
0.1266 0.3734 0.0000 Sr
0.0000 0.0000 0.0000 K
0.5000 0.5000 0.0000 K
```

## Properties
- raw total energy (eV per atom) = -2.749
- ΔH_f (0 K) (eV/atom) = -0.37
- spin magnetization (μB per atom) = 0.00
- offset from the most stable computed form (eV per atom) = 0.0027

***

Record 4
Material: InCuSe2
Method: DFT, GGA-PBE
State: optimized geometry

```
InCuSe2
1.0
-1.1373 -0.8572 -3.1353
-1.2752 -4.3923 1.6634
-4.4131 1.7104 1.1332
Cu In Se
1 1 2
direct
0.5000 0.5000 0.0000 Cu
0.5000 0.0000 0.5000 In
0.0000 0.0000 0.0000 Se
0.0000 0.5000 0.5000 Se
```

## Properties
- formation energy without anion corrections (eV per atom) = 0.20
- raw total energy (eV per atom) = -3.246
- spin magnetization (μB per atom) = 0.00

***

Record 5
Material: KAgF3
Method: DFT, GGA-PBE
State: optimized geometry

```
KAgF3
1.0
-5.9280 -0.5771 -1.0928
0.1477 -6.4770 2.6194
-6.6540 1.0119 2.8772
K Ag F
2 2 6
direct
0.7477 0.2500 0.4990 K
0.2523 0.7500 0.5010 K
0.7458 0.2500 0.0006 Ag
0.2542 0.7500 0.9994 Ag
0.2522 0.0423 0.9992 F
0.7478 0.9577 0.0008 F
0.2522 0.4577 0.9992 F
0.7478 0.5423 0.0008 F
0.2466 0.2500 0.5007 F
0.7534 0.7500 0.4993 F
```

## Properties
- formation energy without anion corrections (eV per atom) = -1.81
- raw total energy (eV per atom) = -3.719
- spin magnetization (μB per atom) = 0.00

***

Record 6
Material: Co2TcRh
Method: DFT, GGA-PBE
State: optimized geometry

```
Co2TcRh
1.0
2.6266 0.0000 0.0000
0.0000 3.6420 0.0000
0.0000 0.0000 5.2296
Co Rh Tc
2 1 1
direct
0.0000 0.0000 0.9927 Co
0.0000 0.0000 0.5073 Co
0.5000 0.5000 0.2500 Rh
0.5000 0.5000 0.7500 Tc
```

## Properties
- raw total energy (eV per atom) = -7.911
- ΔH_f (0 K) (eV/atom) = 0.07
- spin magnetization (μB per atom) = 0.46
- offset from the most stable computed form (eV per atom) = 0.0369

***

Record 7
Material: Sm3Si6PtRh2
Method: DFT, GGA-PBE
State: optimized geometry

```
Sm3Si6PtRh2
1.0
-0.8258 3.1641 -4.2580
-2.9062 -4.4706 0.6263
-6.2655 4.7363 4.7347
Sm Si Pt Rh
3 6 1 2
direct
0.3333 0.6667 0.5824 Sm
0.6667 0.3333 0.4176 Sm
0.0000 0.0000 0.0000 Sm
0.6620 0.8310 0.2762 Si
0.1690 0.3380 0.2762 Si
0.1690 0.8310 0.2762 Si
0.8310 0.6620 0.7238 Si
0.3380 0.1690 0.7238 Si
0.8310 0.1690 0.7238 Si
0.0000 0.0000 0.5000 Pt
0.6667 0.3333 0.9254 Rh
0.3333 0.6667 0.0746 Rh
```

## Properties
- formation energy without anion corrections (eV per atom) = -0.51
- raw total energy (eV per atom) = -6.133
- spin magnetization (μB per atom) = 0.00

***

Record 8
Material: NaTa2Se
Method: DFT, GGA-PBE
State: optimized geometry

```
NaTa2Se
1.0
3.9050 0.0000 0.0000
0.0000 3.9050 0.0000
1.9525 1.9525 10.3777
Na Se Ta
2 2 4
direct
0.5000 0.5000 0.0000 Na
0.2500 0.7500 0.5000 Na
0.0000 0.0000 0.0000 Se
0.7500 0.2500 0.5000 Se
0.6375 0.1250 0.2500 Ta
0.1125 0.6250 0.2500 Ta
0.3750 0.3625 0.7500 Ta
0.8750 0.8875 0.7500 Ta
```

## Properties
- formation energy without anion corrections (eV per atom) = 0.55
- raw total energy (eV per atom) = -6.580
- spin magnetization (μB per atom) = 0.00

***

Record 9
Material: K2NbTlO4
Method: DFT, GGA-PBE
State: optimized geometry

```
K2NbTlO4
1.0
-4.3397 0.2338 3.8166
-3.5413 -1.8342 -4.1892
4.9247 -4.3810 1.6228
K Nb Tl O
2 1 1 4
direct
0.7506 0.2506 0.5012 K
0.2506 0.7506 0.5012 K
0.4988 0.4988 0.9975 Nb
0.0061 0.0061 0.0122 Tl
0.5904 0.5904 0.7974 O
0.4133 0.7835 0.1967 O
0.7835 0.4133 0.1967 O
0.2071 0.2071 0.7974 O
```

## Properties
- formation energy without anion corrections (eV per atom) = -1.94
- raw total energy (eV per atom) = -6.247
- spin magnetization (μB per atom) = 0.00

***

Record 10
Material: AgIrW2
Method: DFT, GGA-PBE
State: optimized geometry

```
AgIrW2
1.0
2.7785 0.0438 0.0000
-0.0449 2.7785 0.0000
0.0000 0.0000 8.3823
Ir Ag W
1 1 2
direct
0.5000 0.5000 0.7687 Ir
0.0000 0.0000 0.5046 Ag
0.0000 0.0000 0.9835 W
0.5000 0.5000 0.2432 W
```

## Properties
- raw total energy (eV per atom) = -9.167
- ΔH_f (0 K) (eV/atom) = 0.24
- spin magnetization (μB per atom) = 0.00
- offset from the most stable computed form (eV per atom) = 0.0000

***

Record 11
Material: Pm2SnPd3
Method: DFT, GGA-PBE
State: optimized geometry

```
Pm2SnPd3
1.0
-2.6897 2.2533 3.0612
-1.8226 -3.3396 -2.6847
3.2011 -9.8177 10.0396
Pm Sn Pd
4 2 6
direct
0.0000 0.0000 0.6195 Pm
0.0000 0.0000 0.3805 Pm
0.0000 0.0000 0.1195 Pm
0.0000 0.0000 0.8805 Pm
0.6667 0.3333 0.7500 Sn
0.3333 0.6667 0.2500 Sn
0.6667 0.3333 0.2500 Pd
0.3333 0.6667 0.7500 Pd
0.6667 0.3333 0.5168 Pd
0.3333 0.6667 0.4832 Pd
0.3333 0.6667 0.0168 Pd
0.6667 0.3333 0.9832 Pd
```

## Properties
- raw total energy (eV per atom) = -5.609
- ΔH_f (0 K) (eV/atom) = -0.76
- spin magnetization (μB per atom) = 0.00
- offset from the most stable computed form (eV per atom) = 0.0000

***

Record 12
Material: La6NdDy2Y
Method: DFT, GGA-PBE
State: optimized geometry

```
La6NdDy2Y
1.0
8.9375 0.0000 1.2601
0.0000 7.2179 0.0000
-2.1243 -3.6089 5.2818
La Nd Dy Y
6 1 2 1
direct
0.4311 0.6333 0.2665 La
0.1995 0.0399 0.6368 La
0.8005 0.4030 0.3632 La
0.1995 0.5970 0.6368 La
0.8005 0.9601 0.3632 La
0.5689 0.3667 0.7335 La
0.0000 0.5000 0.0000 Nd
0.1651 0.0883 0.1766 Dy
0.8349 0.9117 0.8234 Dy
0.5000 0.0000 0.0000 Y
```

## Properties
- raw total energy (eV per atom) = -4.811
- ΔH_f (0 K) (eV/atom) = 0.19
- spin magnetization (μB per atom) = 0.00

***

Question: Which of these has the lowest raw total energy?
Answer: AgIrW2

***

Repeat the fifth record exactly.
Material: KAgF3
Method: DFT, GGA-PBE
State: optimized geometry

```
KAgF3
1.0
-5.9280 -0.5771 -1.0928
0.1477 -6.4770 2.6194
-6.6540 1.0119 2.8772
K Ag F
2 2 6
direct
0.7477 0.2500 0.4990 K
0.2523 0.7500 0.5010 K
0.7458 0.2500 0.0006 Ag
0.2542 0.7500 0.9994 Ag
0.2522 0.0423 0.9992 F
0.7478 0.9577 0.0008 F
0.2522 0.4577 0.9992 F
0.7478 0.5423 0.0008 F
0.2466 0.2500 0.5007 F
0.7534 0.7500 0.4993 F
```

## Properties
- formation energy without anion corrections (eV per atom) = -1.81
- raw total energy (eV per atom) = -3.719
- spin magnetization (μB per atom) = 0.00

***

Please write out number 8 again, unchanged.
Material: NaTa2Se
Method: DFT, GGA-PBE
State: optimized geometry

```
NaTa2Se
1.0
3.9050 0.0000 0.0000
0.0000 3.9050 0.0000
1.9525 1.9525 10.3777
Na Se Ta
2 2 4
direct
0.5000 0.5000 0.0000 Na
0.2500 0.7500 0.5000 Na
0.0000 0.0000 0.0000 Se
0.7500 0.2500 0.5000 Se
0.6375 0.1250 0.2500 Ta
0.1125 0.6250 0.2500 Ta
0.3750 0.3625 0.7500 Ta
0.8750 0.8875 0.7500 Ta
```

## Properties
- formation energy without anion corrections (eV per atom) = 0.55
- raw total energy (eV per atom) = -6.580
- spin magnetization (μB per atom) = 0.00